No. 1
NaCoTcO4: optimized geometry, PBE+U.

```
data_NaCoTcO4
_symmetry_space_group_name_H-M 'P 1 21/m 1'
_symmetry_Int_Tables_number 11
_cell_length_a 5.912
_cell_length_b 5.814
_cell_length_c 6.097
_cell_angle_alpha 90.00
_cell_angle_beta 104.45
_cell_angle_gamma 90.00
loop_
_symmetry_equiv_pos_as_xyz
'x,y,z'
'-x,-y,-z'
'-x,y+1/2,-z'
'x,-y+1/2,z'
loop_
_atom_site_label
_atom_site_fract_x
_atom_site_fract_y
_atom_site_fract_z
Na1 0.204 0.250 0.030
Co1 0.107 0.250 0.512
Tc1 0.344 0.750 0.373
O1 0.091 0.526 0.306
O2 0.415 0.250 0.761
O3 0.460 0.750 0.671
```

***

No. 2
Na2CoTeO6: optimized geometry, PBE+U.

```
data_Na2CoTeO6
_symmetry_space_group_name_H-M 'P 4 m m'
_symmetry_Int_Tables_number 99
_cell_length_a 5.213
_cell_length_b 5.213
_cell_length_c 5.077
_cell_angle_alpha 90.00
_cell_angle_beta 90.00
_cell_angle_gamma 90.00
loop_
_symmetry_equiv_pos_as_xyz
'x,y,z'
'-y,x,z'
'-x,-y,z'
'y,-x,z'
'-x,y,z'
'y,x,z'
'x,-y,z'
'-y,-x,z'
loop_
_atom_site_label
_atom_site_fract_x
_atom_site_fract_y
_atom_site_fract_z
Na1 0.000 0.500 0.000
Co1 0.000 0.000 0.526
Te1 0.500 0.500 0.549
O1 0.000 0.000 0.190
O2 0.254 0.254 0.668
O3 0.500 0.500 0.185
```

***

Number 1: uncorrected energy -89.614 eV for the cell shown, D(E_F) 2.16 states/eV/f.u., volume 203 Å³ per cell. Number 2: uncorrected energy -51.106 eV for the cell shown, D(E_F) 1.19 states/eV/f.u., volume 138 Å³ per cell.